Sm2NpSnN5 | Alexandria via LeMat-Bulk | PBE | optimized geometry; volume = 260.8 Å³/cell; size of the total moment = 2.00 μB/f.u.; symmetry = Cmc2_1, No. 36; E_form (uncorrected) = -84 kJ/mol of atoms
1.0
3.477 0.000 0.000
-1.739 7.065 0.000
0.000 0.000 10.615
N Sn Np Sm
10 2 2 4
Cartesian
1.739 3.110 1.522
0.000 6.990 8.227
0.000 5.219 0.055
0.000 0.821 0.669
1.739 6.244 5.976
1.739 0.075 2.920
0.000 3.955 6.830
1.739 1.846 5.362
1.739 2.761 9.315
0.000 4.304 4.008
0.000 6.773 4.955
1.739 0.292 10.262
1.739 4.001 5.404
0.000 3.064 0.097
1.739 5.179 8.380
0.000 1.886 3.072
0.000 1.545 7.372
1.739 5.520 2.064